1.
DFT (PBE-GGA) results for a geometry-optimized AsPPb2 structure.

Structure (POSCAR):
```
AsPPb2
1.0
-2.4402 5.5383 -1.5236
-5.3260 2.0648 2.5138
5.4471 -2.4959 1.7461
As Pb P
1 2 1
direct
0.5000 0.5000 0.0000
0.0000 0.0000 0.0000
0.2500 0.7500 0.5000
0.7500 0.2500 0.5000
```

- Volume: 25.0 Å³/atom
- Total magnetization: 0.000 μB/f.u.
- Energy relative to the elements: 352.5 meV per atom
- Energy relative to the lowest polymorph listed for this composition: 0.209 eV per atom
- Energy: -16.07 eV/cell

---

2.
DFT (PBE-GGA) results for a geometry-optimized Mn2NiBCl structure.

Structure (POSCAR):
```
Mn2NiBCl
1.0
4.7866 0.0000 0.0000
0.0000 3.7050 0.0000
0.0000 0.0000 4.7866
Mn Ni Cl B
2 1 1 1
direct
0.5000 0.0000 0.0000
0.0000 0.0000 0.5000
0.0000 0.0000 0.0000
0.5000 0.5000 0.5000
0.0000 0.5000 0.0000
```

- Volume: 17.0 Å³/atom
- Total magnetization: 8.942 μB/f.u.
- Uncorrected formation energy: 0.558 eV/atom
- Energy: -29.85 eV/cell

---

3.
DFT (PBE-GGA) results for a geometry-optimized PmSmTh2S4 structure.

Structure (POSCAR):
```
PmSmTh2S4
1.0
-3.5777 -1.2898 -1.3583
-1.5904 -2.2621 6.3368
-2.1337 6.6615 -0.7054
Th S Pm Sm
2 4 1 1
direct
0.5000 0.0000 0.5000
0.0000 0.5000 0.5000
0.5000 0.7502 0.7539
0.5000 0.2498 0.2461
0.0000 0.7477 0.2455
0.0000 0.2523 0.7545
0.0000 0.0000 0.0000
0.5000 0.5000 0.0000
```

- Volume: 23.1 Å³/atom
- Total magnetization: 0.000 μB/f.u.
- Uncorrected formation energy: -1.923 eV/atom
- Energy: -56.20 eV/cell

---

4.
DFT (PBE-GGA) results for a geometry-optimized GeP2WCl structure.

Structure (POSCAR):
```
GeP2WCl
1.0
-4.2213 -1.3845 1.5374
-1.0094 -1.6712 -4.2765
1.7633 -4.0717 1.1750
P Ge Cl W
2 1 1 1
direct
0.5000 0.0000 0.0000
0.0000 0.5000 0.0000
0.0000 0.0000 0.0000
0.0000 0.0000 0.5000
0.5000 0.5000 0.5000
```

- Volume: 20.3 Å³/atom
- Total magnetization: 2.795 μB/f.u.
- Uncorrected formation energy: 1.372 eV/atom
- Energy relative to the lowest polymorph listed for this composition: 0.849 eV per atom
- Energy: -23.38 eV/cell

---

5.
DFT (PBE-GGA) results for a geometry-optimized PrNd5Y2Er structure.

Structure (POSCAR):
```
PrNd5Y2Er
1.0
-5.2436 2.0670 -0.8526
-1.2829 -8.5859 6.1308
0.9914 6.1583 8.8319
Y Nd Pr Er
4 10 2 2
direct
0.8828 0.7655 0.8192
0.1172 0.2345 0.3192
0.1094 0.2189 0.7374
0.8906 0.7811 0.2374
0.3943 0.7885 0.0257
0.2827 0.5653 0.3063
0.7042 0.4084 0.2014
0.7173 0.4347 0.8063
0.6057 0.2115 0.5257
0.5207 0.0413 0.2435
0.4793 0.9587 0.7435
0.9822 0.9644 0.5232
0.0178 0.0356 0.0232
0.2958 0.5916 0.7014
0.7960 0.5919 0.5075
0.2040 0.4081 0.0075
0.5899 0.1798 0.9598
0.4101 0.8202 0.4598
```

- Volume: 35.1 Å³/atom
- Total magnetization: 0.000 μB/f.u.
- Energy relative to the elements: 138.4 meV per atom
- Energy: -89.73 eV/cell

---

6.
DFT (PBE-GGA) results for a geometry-optimized Ce4AlHg3 structure.

Structure (POSCAR):
```
Ce4AlHg3
1.0
5.1120 0.0000 0.0000
0.0000 4.2713 0.0448
-2.5560 -2.2311 9.0040
Hg Ce Al
3 4 1
direct
0.6226 0.1228 0.2453
0.5000 0.5000 0.0000
0.3774 0.8772 0.7547
0.7708 0.7709 0.5416
0.1259 0.6261 0.2517
0.8741 0.3739 0.7483
0.2292 0.2291 0.4584
0.0000 0.0000 0.0000
```

- Volume: 24.6 Å³/atom
- Total magnetization: 0.979 μB/f.u.
- Energy relative to the elements: -147.9 meV per atom
- Energy relative to the lowest polymorph listed for this composition: 0.125 eV per atom
- Energy: -29.57 eV/cell

---

7.
DFT (PBE-GGA) results for a geometry-optimized NdScTc structure.

Structure (POSCAR):
```
NdScTc
1.0
3.4310 0.0000 0.0000
0.0000 3.4310 0.0000
-1.7155 -1.7155 6.0026
Nd Sc Tc
1 1 1
direct
0.0279 0.0279 0.0558
0.2940 0.2940 0.5879
0.6781 0.6781 0.3563
```

- Volume: 23.6 Å³/atom
- Total magnetization: 0.000 μB/f.u.
- Energy relative to the elements: 0.8 meV per atom
- Energy relative to the lowest polymorph listed for this composition: 0.000 eV per atom
- Energy: -21.46 eV/cell

---

8.
DFT (PBE-GGA) results for a geometry-optimized PaCu5Pt6 structure.

Structure (POSCAR):
```
PaCu5Pt6
1.0
-1.0204 -2.7815 -2.7672
7.2282 -1.7058 -0.9509
-0.9205 -5.5373 2.9357
Pt Cu Pa
6 5 1
direct
0.5000 0.7425 0.0000
0.1690 0.2616 0.6620
0.8310 0.7384 0.3380
0.8310 0.2616 0.3380
0.1690 0.7384 0.6620
0.5000 0.2575 0.0000
0.3201 0.0000 0.3597
0.6799 0.0000 0.6403
0.0000 0.5000 0.0000
0.6620 0.5000 0.6760
0.3380 0.5000 0.3240
0.0000 0.0000 0.0000
```

- Volume: 15.2 Å³/atom
- Total magnetization: 0.000 μB/f.u.
- Energy relative to the elements: -423.2 meV per atom
- Energy: -71.30 eV/cell